Record 1
VASP calculation (GGA-PBE) on a relaxed structure of TaS2Cl.

Structure (POSCAR):
```
TaS2Cl
1.0
0.000 3.182 3.182
3.182 0.000 3.182
3.182 3.182 0.000
Ta S Cl
1 2 1
Direct
0.000 0.000 0.000
0.250 0.250 0.250
0.750 0.750 0.750
0.500 0.500 0.500
```

## Properties
- Formation energy without anion corrections: 74 meV per atom
- Calculated density: 7.23 g/cm3
- Total DFT energy (no corrections): -5.415 eV per atom


Record 2
VASP calculation (GGA-PBE) on a relaxed structure of Ta2S4Cl.

Structure (POSCAR):
```
Ta2S4Cl
1.0
-3.404 6.330 3.147
3.404 -6.330 3.147
3.404 6.330 -3.147
Ta S Cl
4 8 2
Direct
0.000 0.000 0.000
0.000 0.500 0.500
0.222 0.167 0.555
0.612 0.667 0.445
0.293 0.047 0.747
0.300 0.547 0.253
0.336 0.139 0.199
0.336 0.637 0.697
0.665 0.530 0.635
0.894 0.030 0.365
0.941 0.137 0.801
0.941 0.639 0.303
0.680 0.036 0.145
0.891 0.536 0.855
```

## Properties
- Formation energy without anion corrections: -841 meV per atom
- Calculated density: 6.43 g/cm3
- Total DFT energy (no corrections): -6.850 eV per atom